Density functional theory data (PBE) for a relaxed structure of HfTaMnOs.

Structure (CIF):
```
data_HfTaMnOs
_chemical_formula_sum 'Hf1 Ta1 Mn1 Os1'
_space_group_name_H-M_alt 'P 4 m m'
_space_group_IT_number 99
_cell_length_a 3.157
_cell_length_b 3.157
_cell_length_c 6.370
_cell_angle_alpha 90.00
_cell_angle_beta 90.00
_cell_angle_gamma 90.00
loop_
_space_group_symop_operation_xyz
'x,y,z'
'-y,x,z'
'-x,-y,z'
'y,-x,z'
'-x,y,z'
'y,x,z'
'x,-y,z'
'-y,-x,z'
loop_
_atom_site_label
_atom_site_fract_x
_atom_site_fract_y
_atom_site_fract_z
Hf1 0.000 0.000 0.000
Ta1 0.000 0.000 0.481
Mn1 0.500 0.500 0.252
Os1 0.500 0.500 0.733
```

Total magnetization in μB/atom: 0.000
Energy of formation from the pure elements in meV per atom: -408.5
D(E_F) in states/eV/atom: 0.18
Electronic total energy in eV for the cell shown: -43.8